The following is a DFT calculation (PBE-GGA) of a geometry-optimized Pm2NdInN structure. Values from VASP.

```
&SYSTEM
  ibrav = 0, nat = 5, ntyp = 4
/
ATOMIC_SPECIES
Pm 145.00 Pm.upf
Nd 144.24 Nd.upf
In 114.82 In.upf
N 14.01 N.upf
CELL_PARAMETERS angstrom
4.9955 0.0000 0.0000
0.0000 4.9955 0.0000
0.0000 0.0000 5.0381
ATOMIC_POSITIONS crystal
Pm 0.0000 0.5000 0.0000
Pm 0.5000 0.0000 0.0000
Nd 0.0000 0.0000 0.5000
In 0.5000 0.5000 0.5000
N 0.0000 0.0000 0.0000
```

***

The following is a DFT calculation (PBE-GGA) of a geometry-optimized PrNd2InN structure. Values from VASP.

```
&SYSTEM
  ibrav = 0, nat = 5, ntyp = 4
/
ATOMIC_SPECIES
Pr 140.91 Pr.upf
Nd 144.24 Nd.upf
In 114.82 In.upf
N 14.01 N.upf
CELL_PARAMETERS angstrom
5.0428 0.0000 0.0000
0.0000 5.0428 0.0000
0.0000 0.0000 5.0848
ATOMIC_POSITIONS crystal
Pr 0.0000 0.0000 0.0000
Nd 0.0000 0.5000 0.5000
Nd 0.5000 0.0000 0.5000
In 0.5000 0.5000 0.0000
N 0.0000 0.0000 0.5000
```

***

The following is a DFT calculation (PBE-GGA) of a geometry-optimized PrNd12In4N3 structure. Values from VASP.

```
&SYSTEM
  ibrav = 0, nat = 20, ntyp = 4
/
ATOMIC_SPECIES
Pr 140.91 Pr.upf
Nd 144.24 Nd.upf
In 114.82 In.upf
N 14.01 N.upf
CELL_PARAMETERS angstrom
-5.1524 5.1524 5.1524
5.1524 -5.1524 5.1524
5.1524 5.1524 -5.1524
ATOMIC_POSITIONS crystal
Pr 0.0000 0.0000 0.0000
Nd 0.0000 0.2755 0.2755
Nd 0.0000 0.7245 0.7245
Nd 0.2500 0.5000 0.7500
Nd 0.2500 0.7500 0.5000
Nd 0.2755 0.0000 0.2755
Nd 0.2755 0.2755 0.0000
Nd 0.5000 0.2500 0.7500
Nd 0.5000 0.7500 0.2500
Nd 0.7245 0.0000 0.7245
Nd 0.7245 0.7245 0.0000
Nd 0.7500 0.2500 0.5000
Nd 0.7500 0.5000 0.2500
In 0.0000 0.0000 0.5000
In 0.0000 0.5000 0.0000
In 0.5000 0.0000 0.0000
In 0.5000 0.5000 0.5000
N 0.0000 0.5000 0.5000
N 0.5000 0.0000 0.5000
N 0.5000 0.5000 0.0000
```

***

The following is a DFT calculation (PBE-GGA) of a geometry-optimized Pr12NdIn4N3 structure. Values from VASP.

```
&SYSTEM
  ibrav = 0, nat = 20, ntyp = 4
/
ATOMIC_SPECIES
Pr 140.91 Pr.upf
Nd 144.24 Nd.upf
In 114.82 In.upf
N 14.01 N.upf
CELL_PARAMETERS angstrom
-5.1908 5.1908 5.1908
5.1908 -5.1908 5.1908
5.1908 5.1908 -5.1908
ATOMIC_POSITIONS crystal
Pr 0.0000 0.2750 0.2750
Pr 0.0000 0.7250 0.7250
Pr 0.2500 0.5000 0.7500
Pr 0.2500 0.7500 0.5000
Pr 0.2750 0.0000 0.2750
Pr 0.2750 0.2750 0.0000
Pr 0.5000 0.2500 0.7500
Pr 0.5000 0.7500 0.2500
Pr 0.7250 0.0000 0.7250
Pr 0.7250 0.7250 0.0000
Pr 0.7500 0.2500 0.5000
Pr 0.7500 0.5000 0.2500
Nd 0.0000 0.0000 0.0000
In 0.0000 0.0000 0.5000
In 0.0000 0.5000 0.0000
In 0.5000 0.0000 0.0000
In 0.5000 0.5000 0.5000
N 0.0000 0.5000 0.5000
N 0.5000 0.0000 0.5000
N 0.5000 0.5000 0.0000
```

***

The following is a DFT calculation (PBE-GGA) of a geometry-optimized NdSmInN3 structure. Values from VASP.

```
&SYSTEM
  ibrav = 0, nat = 12, ntyp = 4
/
ATOMIC_SPECIES
Nd 144.24 Nd.upf
Sm 150.36 Sm.upf
In 114.82 In.upf
N 14.01 N.upf
CELL_PARAMETERS angstrom
6.0299 0.0000 0.0000
0.0000 3.4878 0.0000
-1.4267 0.0000 8.8352
ATOMIC_POSITIONS crystal
Nd 0.1621 0.2500 0.1907
Nd 0.8379 0.7500 0.8093
Sm 0.2618 0.7500 0.5512
Sm 0.7382 0.2500 0.4488
In 0.3484 0.2500 0.8591
In 0.6516 0.7500 0.1409
N 0.0380 0.2500 0.6652
N 0.2484 0.7500 0.9870
N 0.4563 0.7500 0.3330
N 0.5437 0.2500 0.6670
N 0.7516 0.2500 0.0130
N 0.9620 0.7500 0.3348
```

***

The following is a DFT calculation (PBE-GGA) of a geometry-optimized Nd2SmInN structure. Values from VASP.

```
&SYSTEM
  ibrav = 0, nat = 5, ntyp = 4
/
ATOMIC_SPECIES
Nd 144.24 Nd.upf
Sm 150.36 Sm.upf
In 114.82 In.upf
N 14.01 N.upf
CELL_PARAMETERS angstrom
5.0398 0.0000 0.0000
0.0000 5.0398 0.0000
0.0000 0.0000 4.9644
ATOMIC_POSITIONS crystal
Nd 0.0000 0.5000 0.0000
Nd 0.5000 0.0000 0.0000
Sm 0.0000 0.0000 0.5000
In 0.5000 0.5000 0.5000
N 0.0000 0.0000 0.0000
```

***

The following is a DFT calculation (PBE-GGA) of a geometry-optimized Nd12SmIn4N3 structure. Values from VASP.

```
&SYSTEM
  ibrav = 0, nat = 20, ntyp = 4
/
ATOMIC_SPECIES
Nd 144.24 Nd.upf
Sm 150.36 Sm.upf
In 114.82 In.upf
N 14.01 N.upf
CELL_PARAMETERS angstrom
-5.1480 5.1480 5.1480
5.1480 -5.1480 5.1480
5.1480 5.1480 -5.1480
ATOMIC_POSITIONS crystal
Nd 0.0000 0.2748 0.2748
Nd 0.0000 0.7252 0.7252
Nd 0.2500 0.5000 0.7500
Nd 0.2500 0.7500 0.5000
Nd 0.2748 0.0000 0.2748
Nd 0.2748 0.2748 0.0000
Nd 0.5000 0.2500 0.7500
Nd 0.5000 0.7500 0.2500
Nd 0.7252 0.0000 0.7252
Nd 0.7252 0.7252 0.0000
Nd 0.7500 0.2500 0.5000
Nd 0.7500 0.5000 0.2500
Sm 0.0000 0.0000 0.0000
In 0.0000 0.0000 0.5000
In 0.0000 0.5000 0.0000
In 0.5000 0.0000 0.0000
In 0.5000 0.5000 0.5000
N 0.0000 0.5000 0.5000
N 0.5000 0.0000 0.5000
N 0.5000 0.5000 0.0000
```

***

The following is a DFT calculation (PBE-GGA) of a geometry-optimized Nd2ThInN structure. Values from VASP.

```
&SYSTEM
  ibrav = 0, nat = 5, ntyp = 4
/
ATOMIC_SPECIES
Nd 144.24 Nd.upf
Th 232.04 Th.upf
In 114.82 In.upf
N 14.01 N.upf
CELL_PARAMETERS angstrom
5.1014 0.0000 0.0000
0.0000 5.1014 0.0000
0.0000 0.0000 4.8765
ATOMIC_POSITIONS crystal
Nd 0.0000 0.5000 0.0000
Nd 0.5000 0.0000 0.0000
Th 0.0000 0.0000 0.5000
In 0.5000 0.5000 0.5000
N 0.0000 0.0000 0.0000
```

***

The following is a DFT calculation (PBE-GGA) of a geometry-optimized NdTh2InN structure. Values from VASP.

```
&SYSTEM
  ibrav = 0, nat = 5, ntyp = 4
/
ATOMIC_SPECIES
Nd 144.24 Nd.upf
Th 232.04 Th.upf
In 114.82 In.upf
N 14.01 N.upf
CELL_PARAMETERS angstrom
4.9485 0.0000 0.0000
0.0000 4.9485 0.0000
0.0000 0.0000 5.1730
ATOMIC_POSITIONS crystal
Nd 0.0000 0.0000 0.0000
Th 0.0000 0.5000 0.5000
Th 0.5000 0.0000 0.5000
In 0.5000 0.5000 0.0000
N 0.0000 0.0000 0.5000
```

***

The following is a DFT calculation (PBE-GGA) of a geometry-optimized Nd4TlInN structure. Values from VASP.

```
&SYSTEM
  ibrav = 0, nat = 14, ntyp = 4
/
ATOMIC_SPECIES
Nd 144.24 Nd.upf
Tl 204.38 Tl.upf
In 114.82 In.upf
N 14.01 N.upf
CELL_PARAMETERS angstrom
3.5150 -8.1339 0.0000
3.5150 8.1339 0.0000
0.0000 0.0000 7.0350
ATOMIC_POSITIONS crystal
Nd 0.0000 0.5000 0.0000
Nd 0.0000 0.5000 0.5000
Nd 0.0865 0.9135 0.7500
Nd 0.4129 0.5871 0.7500
Nd 0.5000 0.0000 0.0000
Nd 0.5000 0.0000 0.5000
Nd 0.5871 0.4129 0.2500
Nd 0.9135 0.0865 0.2500
Tl 0.1125 0.8875 0.2500
Tl 0.8875 0.1125 0.7500
In 0.3867 0.6133 0.2500
In 0.6133 0.3867 0.7500
N 0.2499 0.7501 0.7500
N 0.7501 0.2499 0.2500
```

***

The following is a DFT calculation (PBE-GGA) of a geometry-optimized Nd2UInN5 structure. Values from VASP.

```
&SYSTEM
  ibrav = 0, nat = 18, ntyp = 4
/
ATOMIC_SPECIES
Nd 144.24 Nd.upf
U 238.03 U.upf
In 114.82 In.upf
N 14.01 N.upf
CELL_PARAMETERS angstrom
1.7679 -7.1292 0.0000
1.7679 7.1292 0.0000
0.0000 0.0000 10.7523
ATOMIC_POSITIONS crystal
Nd 0.1023 0.8977 0.5000
Nd 0.1290 0.8710 0.1069
Nd 0.8710 0.1290 0.6069
Nd 0.8977 0.1023 0.0000
U 0.2177 0.7823 0.8240
U 0.7823 0.2177 0.3240
In 0.4736 0.5264 0.2786
In 0.5264 0.4736 0.7786
N 0.0687 0.9313 0.8748
N 0.2749 0.7251 0.4516
N 0.2967 0.7033 0.1989
N 0.3654 0.6346 0.8134
N 0.4957 0.5043 0.5839
N 0.5043 0.4957 0.0839
N 0.6346 0.3654 0.3134
N 0.7033 0.2967 0.6989
N 0.7251 0.2749 0.9516
N 0.9313 0.0687 0.3748
```

***

The following is a DFT calculation (PBE-GGA) of a geometry-optimized NdY2InN structure. Values from VASP.

```
&SYSTEM
  ibrav = 0, nat = 5, ntyp = 4
/
ATOMIC_SPECIES
Nd 144.24 Nd.upf
Y 88.91 Y.upf
In 114.82 In.upf
N 14.01 N.upf
CELL_PARAMETERS angstrom
4.8459 0.0000 0.0000
0.0000 4.8459 0.0000
0.0000 0.0000 5.0263
ATOMIC_POSITIONS crystal
Nd 0.0000 0.0000 0.0000
Y 0.0000 0.5000 0.5000
Y 0.5000 0.0000 0.5000
In 0.5000 0.5000 0.0000
N 0.0000 0.0000 0.5000
```

***

So what do the calculations give for raw formation energy? Going down the list: -0.88 -0.85 -0.46 -0.44 -0.83 -0.88 -0.45 -0.84 -0.78 -0.62 -0.98 -0.95 eV/atom.